## LiMnVP4O14 (PBE with a Hubbard U)

Data for LiMnVP4O14 after structural relaxation.

The raw total energy is -7.26 eV/atom.

a = 4.8562 Å, b = 16.3267 Å, c = 7.0307 Å
α = 91.71°, β = 107.88°, γ = 88.38°
Fractional positions:
O1 0.9661 0.9129 0.1607
O2 0.8191 0.7692 0.5419
O3 0.4121 0.4621 0.0795
O4 0.5736 0.0860 0.3698
O5 0.5864 0.7182 0.8963
O6 0.8745 0.5967 0.0979
O7 0.7436 0.4238 0.5118
V1 0.2060 0.2475 0.7218
P1 0.6017 0.8409 0.4904
O8 0.1430 0.8410 0.8973
O9 0.1431 0.3411 0.8974
O10 0.1688 0.5238 0.4875
O11 0.4248 0.8250 0.2575
P2 0.6017 0.3409 0.4905
Mn1 0.7830 0.5031 0.2661
O12 0.0497 0.6657 0.8429
P3 0.7848 0.6416 0.9062
O13 0.6098 0.0754 0.7381
O14 0.1688 0.0238 0.4875
O15 0.4248 0.3250 0.2576
O16 0.3780 0.8385 0.6070
Mn2 0.7830 0.0031 0.2660
Li1 0.1593 0.4352 0.6779
O17 0.8744 0.0967 0.0979
O18 0.3779 0.3385 0.6070
O19 0.6097 0.5754 0.7382
P4 0.2320 0.3889 0.0977
O20 0.8190 0.2692 0.5420
V2 0.2060 0.7475 0.7218
P5 0.3961 0.0901 0.5144
Li2 0.1593 0.9352 0.6779
O21 0.2649 0.1771 0.5134
P6 0.2320 0.8889 0.0977
O22 0.0498 0.1658 0.8430
P7 0.3961 0.5901 0.5144
O23 0.4121 0.9621 0.0794
O24 0.5737 0.5860 0.3698
O25 0.5865 0.2183 0.8963
O26 0.7436 0.9238 0.5118
P8 0.7848 0.1416 0.9062
O27 0.2650 0.6771 0.5134
O28 0.9661 0.4129 0.1607